The following is a GGA-PBEsol calculation of crystalline Li2VSi3O8 at its relaxed geometry, from the Alexandria database.

The space group is P4_332 (No. 212) and the conventional cell measures 7.938, 7.938 and 7.938 Å, with angles of 90.00, 90.00 and 90.00 degrees. The asymmetric unit holds Li at (0.010, 0.010, 0.010), V at (0.125, 0.875, 0.375), Si at (0.112, 0.138, 0.625), O at (0.083, 0.136, 0.401) and O at (0.121, 0.621, 0.879).

The total energy is -107.8 eV/f.u. The calculation puts the volume at 125.1 Å³/f.u.



The following is a GGA-PBEsol calculation of crystalline LiVSiO5 at its relaxed geometry, from the Alexandria database.

The space group is P2_1/m (No. 11) and the conventional cell measures 4.637, 6.163 and 6.348 Å, with angles of 90.00, 94.19 and 90.00 degrees. The asymmetric unit holds Li at (0.000, 0.000, 0.000), V at (0.397, 0.250, 0.748), Si at (0.481, 0.750, 0.755), O at (0.259, 0.750, 0.195), O at (0.271, 0.250, 0.050), O at (0.274, 0.534, 0.766) and O at (0.362, 0.250, 0.468).

The total energy is -63.4 eV/f.u. The excess energy over the best structure of this formula in the dataset comes out at 0 meV/atom. The calculation puts the density of states at the Fermi level at 0.00 states/eV/f.u. The calculation puts the volume at 90.5 Å³/f.u.